A PBEsol-optimized structure of TbNbO4, computed with meta-GGA SCAN.

The structure in POSCAR format:
```
TbNbO4
1.0
5.3493 0.0000 0.0000
0.0000 5.3493 0.0000
0.0000 0.0000 5.0915
Tb Nb O
2 2 8
direct
0.2500 0.2500 0.0000
0.7500 0.7500 0.0000
0.2500 0.7500 0.5000
0.7500 0.2500 0.5000
0.0580 0.5580 0.2579
0.0580 0.9420 0.7421
0.4420 0.5580 0.7421
0.4420 0.9420 0.2579
0.5580 0.0580 0.7421
0.5580 0.4420 0.2579
0.9420 0.0580 0.2579
0.9420 0.4420 0.7421
```

Calculated values
total moment = 0.0000 μB/atom
space-group type = P4/nbm (125)
energy relative to the elements, uncorrected = -3376 meV/atom

---

A PBEsol-optimized structure of TbNbO4, computed with meta-GGA SCAN.

The structure in POSCAR format:
```
TbNbO4
1.0
-2.6012 2.6012 5.4719
2.6012 -2.6012 5.4719
2.6012 2.6012 -5.4719
Tb Nb O
2 2 8
direct
0.3750 0.1250 0.2500
0.6250 0.8750 0.7500
0.1250 0.3750 0.7500
0.8750 0.6250 0.2500
0.0355 0.2165 0.3188
0.2167 0.5355 0.3190
0.2835 0.1023 0.8190
0.3977 0.7167 0.1812
0.6023 0.2833 0.8188
0.7165 0.8977 0.1810
0.7833 0.4645 0.6810
0.9645 0.7835 0.6812
```

Calculated values
total moment = 0.0000 μB/atom
space-group type = I4_1/a (88)
energy relative to the elements, uncorrected = -3387 meV/atom

---

A PBEsol-optimized structure of Nb2Te4O13, computed with meta-GGA SCAN.

The structure in POSCAR format:
```
Nb2Te4O13
1.0
7.5360 0.0000 0.0000
-0.0221 12.6525 0.0000
-0.0088 -5.6948 11.3588
Nb Te O
8 16 52
direct
0.1119 0.2198 0.0364
0.1361 0.7027 0.5376
0.3665 0.2928 0.4527
0.3864 0.7967 0.9717
0.6136 0.2033 0.0283
0.6335 0.7072 0.5473
0.8639 0.2973 0.4624
0.8881 0.7802 0.9636
0.0466 0.2627 0.7874
0.1213 0.0375 0.2111
0.1323 0.5199 0.7111
0.2035 0.9544 0.4904
0.2868 0.5509 0.0176
0.3776 0.9593 0.7813
0.3849 0.4609 0.2659
0.4711 0.2332 0.6935
0.5289 0.7668 0.3065
0.6151 0.5391 0.7341
0.6224 0.0407 0.2187
0.7132 0.4491 0.9824
0.7965 0.0456 0.5096
0.8677 0.4801 0.2889
0.8787 0.9625 0.7889
0.9534 0.7373 0.2126
0.0390 0.9919 0.3983
0.0587 0.0779 0.8741
0.0603 0.5667 0.3891
0.0991 0.1194 0.1183
0.1245 0.2532 0.4272
0.1248 0.6277 0.6392
0.1261 0.5979 0.1521
0.1291 0.7404 0.9370
0.1315 0.7938 0.4340
0.1372 0.3166 0.9451
0.1923 0.3618 0.1741
0.1922 0.8679 0.6729
0.1964 0.3590 0.7465
0.2880 0.1544 0.7331
0.3146 0.9392 0.1183
0.3286 0.4395 0.6100
0.3472 0.8860 0.8804
0.3720 0.1675 0.9971
0.3728 0.3869 0.3681
0.3754 0.9042 0.3500
0.3766 0.6674 0.4976
0.3835 0.7075 0.0718
0.3912 0.1852 0.5365
0.4268 0.6442 0.8216
0.4352 0.1466 0.3076
0.4512 0.5025 0.1001
0.5488 0.4975 0.8999
0.5648 0.8534 0.6924
0.5732 0.3558 0.1784
0.6088 0.8148 0.4635
0.6165 0.2925 0.9282
0.6234 0.3326 0.5024
0.6246 0.0958 0.6500
0.6272 0.6131 0.6319
0.6280 0.8325 0.0029
0.6528 0.1140 0.1196
0.6714 0.5605 0.3900
0.6854 0.0608 0.8817
0.7120 0.8456 0.2669
0.8036 0.6410 0.2535
0.8078 0.1321 0.3271
0.8077 0.6382 0.8259
0.8628 0.6834 0.0549
0.8685 0.2062 0.5660
0.8709 0.2596 0.0630
0.8739 0.4021 0.8479
0.8752 0.3723 0.3608
0.8755 0.7468 0.5728
0.9009 0.8806 0.8817
0.9397 0.4333 0.6109
0.9413 0.9221 0.1259
0.9610 0.0081 0.6017
```

Calculated values
total moment = 0.0000 μB/atom
space-group type = P-1 (2)
energy relative to the elements, uncorrected = -1704 meV/atom

---

A PBEsol-optimized structure of NbTe3O, computed with meta-GGA SCAN.

The structure in POSCAR format:
```
NbTe3O
1.0
4.7190 0.0000 0.0000
0.0000 4.7190 0.0000
0.0000 0.0000 4.7190
Nb Te O
1 3 1
direct
0.0000 0.0000 0.0000
0.0000 0.5000 0.5000
0.5000 0.0000 0.5000
0.5000 0.5000 0.0000
0.5000 0.5000 0.5000
```

Calculated values
total moment = 0.4319 μB/atom
space-group type = Pm-3m (221)
energy relative to the elements, uncorrected = 306 meV/atom

---

A PBEsol-optimized structure of NbTeO2, computed with meta-GGA SCAN.

The structure in POSCAR format:
```
NbTeO2
1.0
0.0000 4.3447 4.3447
4.3447 0.0000 4.3447
4.3447 4.3447 0.0000
Nb Te O
2 2 4
direct
0.1250 0.1250 0.1250
0.8750 0.8750 0.8750
0.3750 0.3750 0.3750
0.6250 0.6250 0.6250
0.0000 0.0000 0.0000
0.0000 0.0000 0.5000
0.0000 0.5000 0.0000
0.5000 0.0000 0.0000
```

Calculated values
total moment = 0.2687 μB/atom
space-group type = Fd-3m (227)
energy relative to the elements, uncorrected = -1550 meV/atom

---

A PBEsol-optimized structure of Ti5NbO12, computed with meta-GGA SCAN.

The structure in POSCAR format:
```
Ti5NbO12
1.0
4.4182 -3.2928 0.0000
4.4182 3.2928 0.0000
-2.8710 0.0000 6.5959
Ti Nb O
5 1 12
direct
0.0000 0.0000 0.0000
0.3380 0.3380 0.3261
0.3383 0.3383 0.8371
0.6617 0.6617 0.1629
0.6620 0.6620 0.6739
0.0000 0.0000 0.5000
0.0292 0.6305 0.3300
0.1025 0.1025 0.2951
0.2308 0.2308 0.0335
0.3037 0.6963 0.0000
0.3695 0.9708 0.6700
0.4332 0.4332 0.6283
0.5668 0.5668 0.3717
0.6305 0.0292 0.3300
0.6963 0.3037 0.0000
0.7692 0.7692 0.9665
0.8975 0.8975 0.7049
0.9708 0.3695 0.6700
```

Calculated values
total moment = 0.0000 μB/atom
space-group type = C2/m (12)
energy relative to the elements, uncorrected = -3199 meV/atom

---

A PBEsol-optimized structure of TiNb2O7, computed with meta-GGA SCAN.

The structure in POSCAR format:
```
TiNb2O7
1.0
7.6427 0.0000 0.0000
1.9055 10.2691 0.0000
1.9131 4.2128 10.3411
Ti Nb O
6 12 42
direct
0.0000 0.0000 0.0000
0.0897 0.6440 0.0017
0.3568 0.2234 0.3777
0.4854 0.3301 0.7405
0.5917 0.6308 0.0131
0.7955 0.0737 0.7495
0.0445 0.4871 0.3601
0.2982 0.0725 0.7414
0.3924 0.6939 0.7484
0.4039 0.3741 0.0132
0.4292 0.8649 0.3749
0.5012 0.9980 0.0041
0.5367 0.4881 0.3760
0.8518 0.2142 0.3911
0.8866 0.7125 0.7434
0.9057 0.3743 0.0145
0.9345 0.8583 0.3589
0.9818 0.3351 0.7383
0.0051 0.6667 0.3622
0.0074 0.4140 0.5617
0.0292 0.1050 0.7799
0.0486 0.8220 0.9902
0.0709 0.5517 0.1761
0.0931 0.2681 0.3787
0.1300 0.6889 0.7992
0.1463 0.4278 0.9958
0.1883 0.8541 0.3822
0.2447 0.2832 0.7519
0.2562 0.0202 0.9547
0.3027 0.4337 0.3731
0.3192 0.1582 0.5661
0.3404 0.8846 0.7611
0.3576 0.6030 0.9733
0.3813 0.2915 0.1898
0.4014 0.0432 0.3905
0.4175 0.7550 0.5736
0.4329 0.4843 0.7918
0.4574 0.2213 0.9571
0.4676 0.9525 0.1798
0.4888 0.6701 0.3637
0.5092 0.4082 0.5680
0.5317 0.1037 0.7799
0.5486 0.8167 0.9939
0.5699 0.5493 0.1822
0.5906 0.2671 0.3801
0.6300 0.6888 0.7968
0.6449 0.4296 0.9971
0.6924 0.8428 0.3816
0.7405 0.2828 0.7535
0.7593 0.0209 0.9526
0.8008 0.4378 0.3731
0.8210 0.1578 0.5760
0.8381 0.8935 0.7595
0.8575 0.6043 0.9745
0.8825 0.2915 0.1901
0.8927 0.0355 0.3915
0.9173 0.7601 0.5713
0.9312 0.4907 0.7914
0.9563 0.2224 0.9575
0.9654 0.9529 0.1721
```

Calculated values
total moment = 0.0000 μB/atom
space-group type = P1 (1)
energy relative to the elements, uncorrected = -2897 meV/atom

---

A PBEsol-optimized structure of Ti3NbO, computed with meta-GGA SCAN.

The structure in POSCAR format:
```
Ti3NbO
1.0
4.1317 0.0000 0.0000
0.0000 4.1317 0.0000
0.0000 0.0000 4.1317
Ti Nb O
3 1 1
direct
0.0000 0.0000 0.5000
0.0000 0.5000 0.0000
0.5000 0.0000 0.0000
0.5000 0.5000 0.5000
0.0000 0.0000 0.0000
```

Calculated values
total moment = 0.0002 μB/atom
space-group type = Pm-3m (221)
energy relative to the elements, uncorrected = -1183 meV/atom

---

A PBEsol-optimized structure of TiNb2O7, computed with meta-GGA SCAN.

The structure in POSCAR format:
```
TiNb2O7
1.0
10.2225 -1.9148 0.0000
10.2225 1.9148 0.0000
-6.0564 0.0000 10.3902
Ti Nb O
3 6 21
direct
0.0000 0.0000 0.0000
0.1030 0.1030 0.3495
0.5149 0.5149 0.6167
0.6203 0.6203 0.9737
0.6959 0.6959 0.6135
0.7303 0.7303 0.3485
0.8142 0.8142 0.9861
0.8913 0.8913 0.6301
0.9235 0.9235 0.3576
0.0202 0.0202 0.3712
0.0593 0.0593 0.1821
0.0994 0.0994 0.9838
0.1819 0.1819 0.5636
0.2124 0.2124 0.3663
0.3057 0.3057 0.9842
0.4073 0.4073 0.6084
0.4373 0.4373 0.4094
0.5192 0.5192 0.9922
0.5585 0.5585 0.7866
0.5983 0.5983 0.5998
0.6362 0.6362 0.3882
0.6836 0.6836 0.1744
0.7098 0.7098 0.9740
0.7587 0.7587 0.7877
0.7851 0.7851 0.5707
0.8351 0.8351 0.4037
0.8607 0.8607 0.1835
0.9108 0.9108 0.9993
0.9379 0.9379 0.8031
0.9831 0.9831 0.5840
```

Calculated values
total moment = 0.0000 μB/atom
space-group type = Cm (8)
energy relative to the elements, uncorrected = -2894 meV/atom

---

A PBEsol-optimized structure of TiNbTlO5, computed with meta-GGA SCAN.

The structure in POSCAR format:
```
TiNbTlO5
1.0
6.4488 0.0000 0.0000
0.0000 3.8000 0.0000
0.0000 0.0000 18.7747
Ti Nb Tl O
4 4 4 20
direct
0.1772 0.2500 0.0331
0.3228 0.7500 0.5331
0.6772 0.2500 0.4669
0.8228 0.7500 0.9669
0.2226 0.2500 0.3918
0.2774 0.7500 0.8918
0.7226 0.2500 0.1082
0.7774 0.7500 0.6082
0.2384 0.2500 0.6962
0.2616 0.7500 0.1962
0.7384 0.2500 0.8038
0.7616 0.7500 0.3038
0.0332 0.2500 0.1192
0.0670 0.7500 0.5697
0.1414 0.7500 0.0097
0.1549 0.2500 0.2983
0.2392 0.7500 0.4227
0.2608 0.2500 0.9227
0.3451 0.7500 0.7983
0.3586 0.2500 0.5097
0.4330 0.2500 0.0697
0.4668 0.7500 0.6192
0.5332 0.2500 0.3808
0.5670 0.7500 0.9303
0.6414 0.7500 0.4903
0.6549 0.2500 0.2017
0.7392 0.7500 0.0773
0.7608 0.2500 0.5773
0.8451 0.7500 0.7017
0.8586 0.2500 0.9903
0.9330 0.2500 0.4303
0.9668 0.7500 0.8808
```

Calculated values
total moment = 0.0000 μB/atom
space-group type = Pnma (62)
energy relative to the elements, uncorrected = -2633 meV/atom

---

A PBEsol-optimized structure of TiNb2ZnO8, computed with meta-GGA SCAN.

The structure in POSCAR format:
```
TiNb2ZnO8
1.0
4.7165 0.0000 0.0000
0.0000 5.6899 0.0000
-0.1504 0.0000 4.9651
Ti Nb Zn O
1 2 1 8
direct
0.0000 0.0000 0.0000
0.0000 0.6374 0.5000
0.5000 0.1417 0.5000
0.5000 0.5272 0.0000
0.2118 0.7307 0.1842
0.2339 0.9462 0.6820
0.2561 0.2068 0.1789
0.2764 0.4375 0.6612
0.7236 0.4375 0.3388
0.7439 0.2068 0.8211
0.7661 0.9462 0.3180
0.7882 0.7307 0.8158
```

Calculated values
total moment = 0.0000 μB/atom
space-group type = P2 (3)
energy relative to the elements, uncorrected = -2699 meV/atom

---

A PBEsol-optimized structure of Nb3Tl3O10, computed with meta-GGA SCAN.

The structure in POSCAR format:
```
Nb3Tl3O10
1.0
-3.7478 3.7478 16.1009
3.7478 -3.7478 16.1009
3.7478 3.7478 -16.1009
Nb Tl O
12 12 40
direct
0.0000 0.0000 0.0000
0.0000 0.0000 0.5000
0.0000 0.5000 0.0000
0.1685 0.6670 0.5015
0.3330 0.3345 0.5015
0.3330 0.8315 0.9985
0.3345 0.3330 0.0015
0.5000 0.0000 0.5000
0.6655 0.6670 0.9985
0.6670 0.1685 0.0015
0.6670 0.6655 0.4985
0.8315 0.3330 0.4985
0.0000 0.5000 0.5000
0.1515 0.1658 0.9858
0.1658 0.1515 0.4858
0.1658 0.6800 0.0142
0.3200 0.8342 0.4858
0.5000 0.0000 0.0000
0.5000 0.5000 0.0000
0.5000 0.5000 0.5000
0.6800 0.1658 0.5142
0.8342 0.3200 0.9858
0.8342 0.8485 0.5142
0.8485 0.8342 0.0142
0.0197 0.7697 0.2500
0.0999 0.2356 0.2541
0.0999 0.8458 0.8643
0.1008 0.3508 0.7500
0.1542 0.5185 0.2541
0.1542 0.9001 0.6357
0.1936 0.4436 0.3872
0.1936 0.8064 0.7500
0.2179 0.4679 0.7500
0.2303 0.9803 0.2500
0.2356 0.0999 0.7541
0.2356 0.4815 0.1357
0.3091 0.5591 0.7500
0.3508 0.1008 0.2500
0.4409 0.6909 0.7500
0.4436 0.1936 0.8872
0.4436 0.5564 0.2500
0.4679 0.2179 0.2500
0.4815 0.2356 0.6357
0.4815 0.8458 0.2459
0.5185 0.1542 0.7541
0.5185 0.7644 0.3643
0.5321 0.7821 0.7500
0.5564 0.4436 0.7500
0.5564 0.8064 0.1128
0.5591 0.3091 0.2500
0.6492 0.8992 0.7500
0.6909 0.4409 0.2500
0.7644 0.5185 0.8643
0.7644 0.9001 0.2459
0.7697 0.0197 0.7500
0.7821 0.5321 0.2500
0.8064 0.1936 0.2500
0.8064 0.5564 0.6128
0.8458 0.0999 0.3643
0.8458 0.4815 0.7459
0.8992 0.6492 0.2500
0.9001 0.1542 0.1357
0.9001 0.7644 0.7459
0.9803 0.2303 0.7500
```

Calculated values
total moment = 0.0000 μB/atom
space-group type = I4_1/amd (141)
energy relative to the elements, uncorrected = -2103 meV/atom

---

What is the energy relative to the elements, uncorrected in the tenth record? -2633 meV/atom

---

What is the total moment in the second record? 0.0000 μB/atom

---

Look up the energy relative to the elements, uncorrected of the sixth one. -3199 meV/atom